NaBeSnAu | the Open Quantum Materials Database | PBE-GGA | optimized geometry; raw total energy = -2.895 eV per atom; calculated density = 7.931 g/cm³; energy relative to the lowest polymorph listed for this composition = 15 meV per atom; symmetry = No. 216
1.0
0.000 3.314 3.314
3.314 0.000 3.314
3.314 3.314 0.000
Na Be Sn Au
1 1 1 1
Cartesian
0.000 0.000 0.000 Na
4.971 4.971 4.971 Be
1.657 1.657 1.657 Sn
3.314 3.314 3.314 Au

=====

SmGaPbS3 | the Open Quantum Materials Database | PBE-GGA | optimized geometry; raw total energy = -4.844 eV per atom; calculated density = 5.920 g/cm³; size of the total moment = 0.0 Bohr magnetons per cell; symmetry = No. 63
1.0
2.095 -6.893 0.000
2.095 6.893 0.000
0.000 0.000 10.165
Sm Ga Pb S
2 2 2 6
Cartesian
0.000 0.000 0.000 Sm
0.000 0.000 5.083 Sm
2.095 0.670 7.624 Ga
2.095 -0.670 2.541 Ga
2.095 3.182 2.541 Pb
2.095 -3.182 7.624 Pb
2.095 5.621 7.624 S
2.095 1.918 5.460 S
2.095 1.918 9.788 S
2.095 -1.918 0.377 S
2.095 -1.918 4.705 S
2.095 -5.621 2.541 S

=====

What is the calculated density in the second record? 5.920 g/cm³

=====

Which of these has the lowest calculated density? SmGaPbS3

=====

Among the records above, which one has the lowest raw total energy? SmGaPbS3

=====

calculated density of number 2 (SmGaPbS3)? 5.920 g/cm³